7
Lattice="-4.560 0.313 -2.586 -0.814 -5.124 0.815 -5.525 -1.134 4.272" Properties=species:S:1:pos:R:3 comment="Ga2SnS4 | the Alexandria database | PBE-GGA | optimized geometry" n_ef_per_ev_atom=1.0093 spacegroup="I4/mmm (139)" e_form_raw_ev_per_atom=0.040 pbc="T T T"
Ga -7.626 -3.802 2.322
Sn 0.000 0.000 0.000
Ga -3.273 -2.143 0.179
S -2.280 0.157 -1.293
S -4.279 -1.692 2.009
S -6.620 -4.253 0.492
S -0.407 -2.562 0.407